Computed, not measured: a geometry-optimized TaNbRh4 structure at the PBE-GGA level of DFT.

Cell: 3.974 25.797 3.905 Å, 90.00 90.00 90.00°
Space group Cmmm (No. 65)
Unique sites:
1 Ta 0.000 0.067 0.000 [4 per cell]
2 Nb 0.000 0.297 0.500 [4 per cell]
3 Rh 0.000 0.000 0.500 [2 per cell]
4 Rh 0.000 0.134 0.500 [4 per cell]
5 Rh 0.000 0.212 0.000 [4 per cell]
6 Rh 0.000 0.366 0.000 [4 per cell]
7 Rh 0.000 0.500 0.000 [2 per cell]

## Properties
energy relative to the lowest polymorph listed for this composition = 0.042 eV per atom
ΔH_f (0 K) = -260 meV/atom

Computed, not measured: a geometry-optimized YTl structure at the PBE-GGA level of DFT.

Cell: 8.513 8.513 8.513 Å, 90.00 90.00 90.00°
Space group Pm-3n (No. 223)
Unique sites:
1 Y 0.000 0.250 0.500 [6 per cell]
2 Tl 0.000 0.500 0.250 [6 per cell]

## Properties
ΔH_f (0 K) = 668 meV/atom

Computed, not measured: a geometry-optimized NaZnCdPt structure at the PBE-GGA level of DFT.

Cell: 6.572 6.572 6.572 Å, 90.00 90.00 90.00°
Space group F-43m (No. 216)
Unique sites:
1 Na 0.000 0.000 0.000 [4 per cell]
2 Zn 0.250 0.250 0.250 [4 per cell]
3 Cd 0.250 0.250 0.750 [4 per cell]
4 Pt 0.000 0.000 0.500 [4 per cell]

## Properties
energy relative to the lowest polymorph listed for this composition = 0.000 eV per atom
ΔH_f (0 K) = -244 meV/atom

Computed, not measured: a geometry-optimized CsRbNaAs structure at the PBE-GGA level of DFT.

Cell: 8.274 8.274 8.274 Å, 90.00 90.00 90.00°
Space group F-43m (No. 216)
Unique sites:
1 Cs 0.000 0.000 0.000 [4 per cell]
2 Rb 0.250 0.250 0.750 [4 per cell]
3 Na 0.250 0.250 0.250 [4 per cell]
4 As 0.000 0.000 0.500 [4 per cell]

## Properties
energy relative to the lowest polymorph listed for this composition = 0.079 eV per atom
ΔH_f (0 K) = -233 meV/atom